(1)
{
  "formula": "CeSmO2",
  "functional": "PBE-GGA",
  "state": "optimized geometry",
  "polymorph_energy_ev_per_fu": 0.00,
  "e_form_raw_kj_per_mol_atoms": -271.6,
  "lattice": [[1.7517, 1.0113, 5.8002], [-1.7517, 1.0113, 5.8002], [0.0000, -2.0227, 5.8002]],
  "species": ["Ce", "Sm", "O", "O"],
  "frac_coords": [[0.0000, 0.0000, 0.0000], [0.5000, 0.5000, 0.5000], [0.2471, 0.2471, 0.2471], [0.7529, 0.7529, 0.7529]]
}

***

(2)
{
  "formula": "CsPdBr3",
  "functional": "PBE-GGA",
  "state": "optimized geometry",
  "e_form_raw_kj_per_mol_atoms": -65.9,
  "lattice": [[3.8228, 0.0000, 0.0000], [0.0000, 5.0440, 4.8020], [0.0000, -5.0440, 4.8020]],
  "species": ["Cs", "Pd", "Br", "Br", "Br"],
  "frac_coords": [[0.0000, 0.0000, 0.0000], [0.5000, 0.3742, 0.3742], [0.0000, 0.1871, 0.5114], [0.0000, 0.5114, 0.1871], [0.5000, 0.7071, 0.7071]]
}

***

(3)
{
  "formula": "TlRu3Au",
  "functional": "PBE-GGA",
  "state": "optimized geometry",
  "polymorph_energy_ev_per_fu": 0.00,
  "formation_enthalpy_0k_ev_per_fu": 9.7,
  "lattice": [[4.9133, 0.0000, 0.0000], [0.0000, 4.9133, 0.0000], [0.0000, 0.0000, 4.9133]],
  "species": ["Tl", "Ru", "Ru", "Ru", "Au"],
  "frac_coords": [[0.0000, 0.0000, 0.0000], [0.0000, 0.5000, 0.5000], [0.5000, 0.0000, 0.5000], [0.5000, 0.5000, 0.0000], [0.5000, 0.5000, 0.5000]]
}

***

(4)
{
  "formula": "PaH5O4",
  "functional": "PBE-GGA",
  "state": "optimized geometry",
  "dft_energy_ev_per_atom": -5.821,
  "lattice": [[5.5131, 0.0000, 0.0000], [0.0000, 5.6138, 0.0000], [0.0000, 0.0000, 5.8376]],
  "species": ["Pa", "Pa", "H", "H", "H", "H", "H", "H", "H", "H", "H", "H", "O", "O", "O", "O", "O", "O", "O", "O"],
  "frac_coords": [[0.2500, 0.2500, 0.1196], [0.7500, 0.7500, 0.8804], [0.0701, 0.1155, 0.6214], [0.0701, 0.3845, 0.6214], [0.2500, 0.7500, 0.8622], [0.4299, 0.1155, 0.6214], [0.4299, 0.3845, 0.6214], [0.5701, 0.6155, 0.3786], [0.5701, 0.8845, 0.3786], [0.7500, 0.2500, 0.1378], [0.9299, 0.6155, 0.3786], [0.9299, 0.8845, 0.3786], [0.0131, 0.2500, 0.5241], [0.2500, 0.5344, 0.8699], [0.2500, 0.9656, 0.8699], [0.4869, 0.2500, 0.5241], [0.5131, 0.7500, 0.4759], [0.7500, 0.0344, 0.1301], [0.7500, 0.4656, 0.1301], [0.9869, 0.7500, 0.4759]]
}

***

(5)
{
  "formula": "Ca2YIr",
  "functional": "PBE-GGA",
  "state": "optimized geometry",
  "polymorph_energy_ev_per_fu": 1.95,
  "formation_enthalpy_0k_ev_per_fu": 0.7,
  "lattice": [[3.0295, -5.4066, 0.0000], [3.0295, 5.4066, 0.0000], [-1.5905, 0.0000, 3.1020]],
  "species": ["Ca", "Ca", "Y", "Ir"],
  "frac_coords": [[0.0000, 0.5000, 0.0000], [0.5000, 0.0000, 0.0000], [0.0000, 0.0000, 0.5000], [0.5000, 0.5000, 0.5000]]
}

***

(6)
{
  "formula": "ScIr3",
  "functional": "PBE-GGA",
  "state": "optimized geometry",
  "formation_enthalpy_0k_ev_per_fu": -2.2,
  "lattice": [[5.6198, 0.0000, 0.0000], [-2.8099, 4.8668, 0.0000], [0.0000, 0.0000, 4.5153]],
  "species": ["Sc", "Sc", "Ir", "Ir", "Ir", "Ir", "Ir", "Ir"],
  "frac_coords": [[0.3333, 0.6667, 0.2500], [0.6667, 0.3333, 0.7500], [0.1644, 0.3288, 0.7500], [0.1644, 0.8356, 0.7500], [0.3288, 0.1644, 0.2500], [0.6712, 0.8356, 0.7500], [0.8356, 0.1644, 0.2500], [0.8356, 0.6712, 0.2500]]
}

***

| no. | DOS(E_F) (states/eV/cell) |
| --- | --- |
| 1 | 4.14 |
| 2 | 6.63 |
| 3 | 6.83 |
| 4 | 9.50 |
| 5 | 3.00 |
| 6 | 9.00 |